1.
DFT (PBE) results for a geometry-optimized Tl2SnBr structure.

Summary:
Total magnetic moment ... 0.00 μB/cell
Excess energy over the best structure of this formula in the dataset ... 0 meV per atom
Symmetry ... P4/mmm
Energy relative to the elements, uncorrected ... -239.3 meV/atom
Crystal system ... tetragonal
DOS(E_F) ... 1.8 states/eV/f.u.

a = 3.5469 Å, b = 5.8604 Å, c = 5.8604 Å
α = 90.00°, β = 90.00°, γ = 90.00°
Element x y z (fractional)
Tl: 0.0000 0.0000 0.5000
Tl: 0.0000 0.5000 0.0000
Sn: 0.5000 0.0000 0.0000
Br: 0.5000 0.5000 0.5000


2.
DFT (PBE) results for a geometry-optimized TlSnBr3 structure.

Summary:
Total magnetic moment ... 0.00 μB/cell
Symmetry ... Pnma
Energy relative to the elements, uncorrected ... -810.9 meV/atom
Crystal system ... orthorhombic
DOS(E_F) ... 0.0 states/eV/f.u.

a = 4.4713 Å, b = 10.4360 Å, c = 15.7066 Å
α = 90.00°, β = 90.00°, γ = 90.00°
Element x y z (fractional)
Tl: 0.2500 0.9679 0.3326
Tl: 0.7500 0.0321 0.6674
Tl: 0.7500 0.5321 0.8326
Tl: 0.2500 0.4679 0.1674
Sn: 0.2500 0.6756 0.5536
Sn: 0.7500 0.3244 0.4464
Sn: 0.7500 0.8244 0.0536
Sn: 0.2500 0.1756 0.9464
Br: 0.7500 0.1938 0.2909
Br: 0.2500 0.6560 0.9846
Br: 0.2500 0.9933 0.1178
Br: 0.2500 0.4933 0.3822
Br: 0.2500 0.1560 0.5154
Br: 0.7500 0.5067 0.6178
Br: 0.2500 0.3062 0.7909
Br: 0.7500 0.0067 0.8822
Br: 0.7500 0.3440 0.0154
Br: 0.7500 0.6938 0.2091
Br: 0.7500 0.8440 0.4846
Br: 0.2500 0.8062 0.7091


3.
DFT (PBE) results for a geometry-optimized Tl5Sn3Br12 structure.

Summary:
Total magnetic moment ... 0.00 μB/cell
Excess energy over the best structure of this formula in the dataset ... 0 meV per atom
Symmetry ... P-62m
Energy relative to the elements, uncorrected ... -792.9 meV/atom
Crystal system ... hexagonal
DOS(E_F) ... 11.4 states/eV/f.u.

a = 4.4957 Å, b = 13.7071 Å, c = 13.7071 Å
α = 120.00°, β = 90.00°, γ = 90.00°
Element x y z (fractional)
Tl: 0.0000 0.3333 0.6667
Tl: 0.0000 0.6667 0.3333
Tl: 0.0000 0.2903 0.0000
Tl: 0.0000 0.7097 0.7097
Tl: 0.0000 0.0000 0.2903
Sn: 0.5000 0.6725 0.0000
Sn: 0.5000 0.3275 0.3275
Sn: 0.5000 0.0000 0.6725
Br: 0.0000 0.8160 0.0000
Br: 0.0000 0.1840 0.1840
Br: 0.0000 0.0000 0.8160
Br: 0.0000 0.5320 0.0000
Br: 0.0000 0.4680 0.4680
Br: 0.0000 0.0000 0.5320
Br: 0.5000 0.2022 0.4490
Br: 0.5000 0.2468 0.7978
Br: 0.5000 0.7978 0.2468
Br: 0.5000 0.5510 0.7532
Br: 0.5000 0.7532 0.5510
Br: 0.5000 0.4490 0.2022


4.
DFT (PBE) results for a geometry-optimized Tl6Sn3Br14 structure.

Summary:
Total magnetic moment ... 0.00 μB/cell
Symmetry ... P3
Energy relative to the elements, uncorrected ... -766.5 meV/atom
Crystal system ... trigonal

a = 7.9075 Å, b = 11.5831 Å, c = 11.5831 Å
α = 120.00°, β = 90.00°, γ = 90.00°
Element x y z (fractional)
Tl: 0.2433 0.8306 0.1181
Tl: 0.2433 0.8819 0.7125
Tl: 0.2433 0.2875 0.1694
Tl: 0.8243 0.5444 0.5310
Tl: 0.8243 0.4690 0.0134
Tl: 0.8243 0.9866 0.4556
Sn: 0.8090 0.0000 0.0000
Sn: 0.3829 0.3333 0.6667
Sn: 0.4309 0.6667 0.3333
Br: 0.9751 0.1009 0.2479
Br: 0.9751 0.7521 0.8529
Br: 0.9751 0.1471 0.8991
Br: 0.4993 0.2303 0.4365
Br: 0.4993 0.5635 0.7937
Br: 0.4993 0.2063 0.7697
Br: 0.4218 0.0000 0.0000
Br: 0.0691 0.3333 0.6667
Br: 0.6534 0.7684 0.1892
Br: 0.6534 0.8108 0.5793
Br: 0.6534 0.4207 0.2316
Br: 0.2144 0.5635 0.4745
Br: 0.2144 0.5255 0.0890
Br: 0.2144 0.9110 0.4365